Compound: PmErCoI
Source: Alexandria via LeMat-Bulk
Functional: PBE-GGA
Structure: optimized geometry

The structure in POSCAR format:
```
PmErCoI
1.0
-3.091 -1.318 2.118
1.923 -2.464 -2.448
6.338 -0.337 5.315
Pm Er Co I
1 1 1 1
direct
0.517 0.156 0.689
0.090 0.943 0.048
0.307 0.552 0.874
0.963 0.380 0.359
```

Results
Size of the total moment, μB per atom: 0.00
Formation energy from raw total energies, meV per atom: -564

Compound: PrErCoI
Source: Alexandria via LeMat-Bulk
Functional: PBE-GGA
Structure: optimized geometry

The structure in POSCAR format:
```
PrErCoI
1.0
-2.377 -0.307 3.197
3.693 -1.517 0.105
3.152 7.713 0.588
Pr Er Co I
1 1 1 1
direct
0.517 0.156 0.689
0.091 0.943 0.049
0.309 0.552 0.877
0.961 0.379 0.355
```

Results
Size of the total moment, μB per atom: 0.00
Formation energy from raw total energies, meV per atom: -557

Compound: SmErCoI
Source: Alexandria via LeMat-Bulk
Functional: PBE-GGA
Structure: optimized geometry

The structure in POSCAR format:
```
SmErCoI
1.0
-2.549 -3.037 0.084
2.277 0.764 3.154
-4.677 6.565 1.788
Sm Er Co I
1 1 1 1
direct
0.517 0.156 0.690
0.090 0.943 0.047
0.307 0.551 0.873
0.964 0.380 0.360
```

Results
Size of the total moment, μB per atom: 0.00
Formation energy from raw total energies, meV per atom: -564

Compound: TbErCoI
Source: Alexandria via LeMat-Bulk
Functional: PBE-GGA
Structure: optimized geometry

The structure in POSCAR format:
```
TbErCoI
1.0
3.943 0.000 0.000
-1.971 3.414 0.000
-1.971 -1.137 7.853
Tb Er Co I
1 1 1 1
direct
0.518 0.157 0.691
0.089 0.942 0.046
0.305 0.550 0.870
0.966 0.381 0.363
```

Results
Size of the total moment, μB per atom: 0.00
Formation energy from raw total energies, meV per atom: -567